[1]
# MgPS2Br

A relaxed MgPS2Br crystal (PBE-GGA, Alexandria).

Computed properties:
calculated density: 2.8 g cm⁻³
VASP energy: -2.777 eV per atom
SG: P4/mmm (123)
V: 118.2 Å³/cell
energy relative to the elements, uncorrected: 0.61 eV/atom

Unit cell a=4.6245 b=4.6245 c=5.5263 alpha=90.00 beta=90.00 gamma=90.00
With the nearest neighbours (Å) after each atom.
Element x y z (fractional)
Mg  0.0000  0.0000  0.0000  4 S 2.31
P  0.0000  0.0000  0.5000  2 Mg 2.76
S  0.0000  0.5000  0.0000  2 Mg 2.31
S  0.5000  0.0000  0.0000  2 Mg 2.31
Br  0.5000  0.5000  0.5000  4 P 3.27, 8 S 3.60

---

[2]
# MgPSe2Br

A relaxed MgPSe2Br crystal (PBE-GGA, Alexandria).

Computed properties:
calculated density: 4.0 g cm⁻³
VASP energy: -3.081 eV per atom
SG: P4/mmm (123)
E above lowest polymorph: 0.000 eV/atom
V: 121.2 Å³/cell
energy relative to the elements, uncorrected: 0.05 eV/atom

Unit cell a=4.9420 b=4.9420 c=4.9606 alpha=90.00 beta=90.00 gamma=90.00
With the nearest neighbours (Å) after each atom.
Element x y z (fractional)
Mg  0.0000  0.0000  0.0000  4 Br 3.49, 8 Se 3.50
P  0.5000  0.5000  0.5000  4 Se 2.47, 2 Br 2.48
Se  0.0000  0.5000  0.5000  2 P 2.47
Se  0.5000  0.0000  0.5000  2 P 2.47
Br  0.5000  0.5000  0.0000  2 P 2.48

---

[3]
# MgPSe2Br

A relaxed MgPSe2Br crystal (PBE-GGA, Alexandria).

Computed properties:
calculated density: 3.8 g cm⁻³
VASP energy: -2.716 eV per atom
SG: P4/mmm (123)
E above lowest polymorph: 0.365 eV/atom
V: 127.7 Å³/cell
energy relative to the elements, uncorrected: 0.41 eV/atom

Unit cell a=5.1234 b=5.1234 c=4.8645 alpha=90.00 beta=90.00 gamma=90.00
With the nearest neighbours (Å) after each atom.
Element x y z (fractional)
Mg  0.0000  0.0000  0.0000  2 Br 2.43, 4 Se 2.56
P  0.5000  0.5000  0.5000  8 Se 3.53, 4 Br 3.62
Se  0.0000  0.5000  0.0000  2 Mg 2.56
Se  0.5000  0.0000  0.0000  2 Mg 2.56
Br  0.0000  0.0000  0.5000  2 Mg 2.43

---

[4]
# MgPaBr2

A relaxed MgPaBr2 crystal (PBE-GGA, Alexandria).

Computed properties:
calculated density: 6.8 g cm⁻³
VASP energy: -4.073 eV per atom
SG: R-3m (166)
V: 101.9 Å³/cell
energy relative to the elements, uncorrected: -0.46 eV/atom

Unit cell a=9.7556 b=9.7556 c=9.7556 alpha=20.74 beta=20.74 gamma=20.74
With the nearest neighbours (Å) after each atom.
Element x y z (fractional)
Mg  0.0000  0.0000  0.0000  6 Br 2.63
Pa  0.5000  0.5000  0.5000  2 Br 3.10
Br  0.3918  0.3918  0.3918  3 Mg 2.63
Br  0.6082  0.6082  0.6082  3 Mg 2.63